# Cr2AuClO

Crystalline Cr2AuClO at its relaxed geometry (GGA+U, Alexandria via LeMat-Bulk).

The space group is P4/mmm (No. 123) and the conventional cell measures 4.019, 4.019 and 5.669 Å, with angles of 90.00, 90.00 and 90.00 degrees. Symmetry generates all atoms from Cr at (0.000, 0.500, 0.000), Au at (0.000, 0.000, 0.500), Cl at (0.500, 0.500, 0.500) and O at (0.500, 0.500, 0.000).

For the final energy, the calculation gives -5.255 eV/atom. The mass density comes out at 6.390 g/cm3.